The following is a PBE calculation of crystalline CoTe2Pt at its relaxed geometry, from Alexandria.

Calculated values
As for the crystal system: tetragonal.

Cell: 3.9646 3.9646 10.0144 Å, 90.00 90.00 90.00°
Closest atoms and distances in Å follow each position.
Space group I-4m2 (No. 119)
Unique sites:
Co 0.0000 0.0000 0.0000 (multiplicity 2)  4 Te 2.80
Te 0.0000 0.0000 0.5000 (multiplicity 2)  4 Co 2.80
Te 0.0000 0.5000 0.2500 (multiplicity 2)  4 Pt 2.80
Pt 0.0000 0.5000 0.7500 (multiplicity 2)  4 Te 2.80

=====

The following is a PBE calculation of crystalline CoTePt2 at its relaxed geometry, from Alexandria.

Calculated values
As for the crystal system: orthorhombic.

Cell: 3.7707 3.8298 9.1947 Å, 90.00 90.00 90.00°
Closest atoms and distances in Å follow each position.
Space group Immm (No. 71)
Unique sites:
Co 0.0000 0.0000 0.0000 (multiplicity 2)  4 Te 2.69, 4 Pt 2.76
Te 0.0000 0.0000 0.5000 (multiplicity 2)  4 Co 2.69, 4 Pt 2.74
Pt 0.0000 0.5000 0.2157 (multiplicity 4)  2 Te 2.74, 2 Co 2.76, 4 Pt 2.76

=====

The following is a PBE calculation of crystalline Co2TePt2 at its relaxed geometry, from Alexandria.

Calculated values
As for the crystal system: tetragonal.

Cell: 6.4666 6.4666 3.7259 Å, 90.00 90.00 90.00°
Closest atoms and distances in Å follow each position.
Space group P4/mbm (No. 127)
Unique sites:
Co 0.1311 0.3689 0.0000 (multiplicity 4)  1 Co 2.40, 2 Te 2.53, 4 Pt 2.62
Te 0.0000 0.0000 0.0000 (multiplicity 2)  4 Co 2.53
Pt 0.1538 0.6538 0.5000 (multiplicity 4)  6 Co 2.62-2.71, 1 Pt 2.81

=====

The following is a PBE calculation of crystalline CoTe2Pt at its relaxed geometry, from Alexandria.

Calculated values
As for the crystal system: monoclinic.

Cell: 6.5223 3.7940 6.7736 Å, 90.00 108.98 90.00°
Closest atoms and distances in Å follow each position.
Space group C2/m (No. 12)
Unique sites:
Co 0.0000 0.0000 0.0000 (multiplicity 2)  6 Te 2.62
Te 0.2421 0.5000 0.2263 (multiplicity 4)  3 Co 2.62, 3 Pt 2.80
Pt 0.0000 0.5000 0.5000 (multiplicity 2)  6 Te 2.80

=====

Values for formation energy (no corrections), meV per atom, ordered as above
416; 151; 151; 36
Values for magnetic moment, Bohr magnetons per cell, ordered as above
2.522; 2.565; 7.000; 0.004